Record 1
Compound: Sr2ZnSiPb
Source: Alexandria
Functional: PBE
Structure: relaxed

Results
crystal system	tetragonal
E	-2.361	eV/atom
total magnetic moment	0.3179	μB/atom

Cell lengths 6.341, 6.341, 4.994 Å; angles 90.00, 90.00, 90.00 degrees
Sites, in units of the cell vectors:
Sr: 0.000 0.500 0.000
Sr: 0.500 0.000 0.000
Zn: 0.000 0.000 0.500
Si: 0.500 0.500 0.500
Pb: 0.000 0.000 0.000

=====

Record 2
Compound: La3GaO
Source: Alexandria
Functional: PBE
Structure: relaxed

Results
crystal system	monoclinic
E	-5.783	eV/atom
total magnetic moment	0.0000	μB/atom

Cell lengths 3.674, 8.304, 8.880 Å; angles 90.00, 90.01, 90.00 degrees
Sites, in units of the cell vectors:
La: 0.001 0.046 0.192
La: 0.001 0.454 0.192
La: 0.499 0.750 0.466
La: 0.501 0.250 0.534
La: 0.999 0.546 0.808
La: 0.999 0.954 0.808
Ga: 0.499 0.250 0.905
Ga: 0.501 0.750 0.095
O: 0.499 0.750 0.723
O: 0.501 0.250 0.277

=====

Record 3
Compound: SiPdCl
Source: Alexandria
Functional: PBE
Structure: relaxed

Results
crystal system	triclinic
E	-4.851	eV/atom
total magnetic moment	0.0000	μB/atom

Cell lengths 4.566, 4.568, 8.154 Å; angles 92.83, 98.01, 104.66 degrees
Sites, in units of the cell vectors:
Si: 0.212 0.202 0.081
Si: 0.788 0.798 0.919
Pd: 0.293 0.707 0.000
Pd: 0.707 0.293 0.000
Cl: 0.230 0.185 0.337
Cl: 0.770 0.815 0.663

=====

Record 4
Compound: Sm3B7Rh
Source: Alexandria
Functional: PBE
Structure: relaxed

Results
crystal system	orthorhombic
formation energy from the elements	-0.48	eV per atom
total magnetic moment	0.0000	μB/atom

Cell lengths 8.251, 8.251, 9.541 Å; angles 90.00, 90.00, 155.06 degrees
Sites, in units of the cell vectors:
Sm: 0.105 0.895 0.562
Sm: 0.105 0.895 0.938
Sm: 0.246 0.754 0.250
Sm: 0.754 0.246 0.750
Sm: 0.895 0.105 0.062
Sm: 0.895 0.105 0.438
B: 0.273 0.727 0.533
B: 0.273 0.727 0.967
B: 0.368 0.632 0.652
B: 0.368 0.632 0.848
B: 0.463 0.537 0.250
B: 0.477 0.523 0.598
B: 0.477 0.523 0.902
B: 0.523 0.477 0.098
B: 0.523 0.477 0.402
B: 0.537 0.463 0.750
B: 0.632 0.368 0.152
B: 0.632 0.368 0.348
B: 0.727 0.273 0.033
B: 0.727 0.273 0.467
Rh: 0.056 0.944 0.250
Rh: 0.944 0.056 0.750

=====

Record 5
Compound: Th2TiSi4Ir3
Source: Alexandria
Functional: PBE
Structure: relaxed

Results
crystal system	tetragonal
E	-8.096	eV/atom
total magnetic moment	0.0000	μB/atom

Cell lengths 4.173, 4.173, 10.327 Å; angles 90.00, 90.00, 90.00 degrees
Sites, in units of the cell vectors:
Th: 0.000 0.500 0.241
Th: 0.500 0.000 0.759
Ti: 0.000 0.000 0.500
Si: 0.000 0.000 0.000
Si: 0.000 0.500 0.642
Si: 0.500 0.000 0.358
Si: 0.500 0.500 0.000
Ir: 0.000 0.500 0.879
Ir: 0.500 0.000 0.121
Ir: 0.500 0.500 0.500

=====

Record 6
Compound: BaCu3Rh
Source: Alexandria
Functional: PBE
Structure: relaxed

Results
crystal system	orthorhombic
formation energy from the elements	0.03	eV per atom
total magnetic moment	0.0183	μB/atom
distance to the lowest polymorph of the same formula	0.0	meV/atom

Cell lengths 6.797, 6.797, 5.035 Å; angles 90.00, 90.00, 126.46 degrees
Sites, in units of the cell vectors:
Ba: 0.100 0.900 0.750
Ba: 0.900 0.100 0.250
Cu: 0.138 0.461 0.750
Cu: 0.304 0.696 0.250
Cu: 0.461 0.138 0.250
Cu: 0.539 0.862 0.750
Cu: 0.696 0.304 0.750
Cu: 0.862 0.539 0.250
Rh: 0.500 0.500 0.000
Rh: 0.500 0.500 0.500

=====

Record 7
Compound: AgCl2
Source: Alexandria
Functional: PBE
Structure: relaxed

Results
crystal system	hexagonal
E	-2.305	eV/atom
total magnetic moment	0.1951	μB/atom

Cell lengths 6.762, 6.762, 6.531 Å; angles 90.00, 90.00, 120.00 degrees
Sites, in units of the cell vectors:
Ag: 0.000 0.000 0.000
Ag: 0.333 0.667 0.500
Ag: 0.667 0.333 0.500
Cl: 0.000 0.290 0.500
Cl: 0.000 0.654 0.000
Cl: 0.290 0.000 0.500
Cl: 0.346 0.346 0.000
Cl: 0.654 0.000 0.000
Cl: 0.710 0.710 0.500

=====

Record 8
Compound: ZnIn2Sn
Source: Alexandria
Functional: PBE
Structure: relaxed

Results
crystal system	trigonal
formation energy from the elements	0.14	eV per atom
total magnetic moment	0.0000	μB/atom

Cell lengths 11.186, 11.186, 11.186 Å; angles 17.05, 17.05, 17.05 degrees
Sites, in units of the cell vectors:
Zn: 0.000 0.000 0.000
In: 0.084 0.084 0.084
In: 0.916 0.916 0.916
Sn: 0.500 0.500 0.500

=====

Record 9
Compound: AgB2Os
Source: Alexandria
Functional: PBE
Structure: relaxed

Results
crystal system	tetragonal
formation energy from the elements	0.75	eV per atom
total magnetic moment	0.0000	μB/atom
distance to the lowest polymorph of the same formula	0.0	meV/atom

Cell lengths 6.067, 6.067, 6.067 Å; angles 132.26, 132.26, 69.81 degrees
Sites, in units of the cell vectors:
Ag: 0.000 0.000 0.000
Ag: 0.750 0.250 0.500
B: 0.182 0.625 0.057
B: 0.375 0.432 0.557
B: 0.568 0.125 0.943
B: 0.875 0.818 0.443
Os: 0.250 0.750 0.500
Os: 0.500 0.500 0.000

=====

Record 10
Compound: LiPm2SiO
Source: Alexandria
Functional: PBE
Structure: relaxed

Results
crystal system	tetragonal
E	-5.810	eV/atom
total magnetic moment	0.0000	μB/atom

Cell lengths 4.851, 4.851, 4.073 Å; angles 90.00, 90.00, 90.00 degrees
Sites, in units of the cell vectors:
Li: 0.000 0.000 0.000
Pm: 0.000 0.500 0.500
Pm: 0.500 0.000 0.500
Si: 0.500 0.500 0.000
O: 0.000 0.000 0.500

=====

Record 11
Compound: NaSn3C
Source: Alexandria
Functional: PBE
Structure: relaxed

Results
crystal system	cubic
formation energy from the elements	0.74	eV per atom
total magnetic moment	0.0000	μB/atom
distance to the lowest polymorph of the same formula	0.0	meV/atom

Cell lengths 4.908, 4.908, 4.908 Å; angles 90.00, 90.00, 90.00 degrees
Sites, in units of the cell vectors:
Na: 0.000 0.000 0.000
Sn: 0.000 0.500 0.500
Sn: 0.500 0.000 0.500
Sn: 0.500 0.500 0.000
C: 0.500 0.500 0.500

=====

Record 12
Compound: HfTl2Cl
Source: Alexandria
Functional: PBE
Structure: relaxed

Results
crystal system	cubic
total magnetic moment	0.0000	μB/atom
distance to the lowest polymorph of the same formula	251.7	meV/atom

Cell lengths 5.274, 5.274, 5.274 Å; angles 60.00, 60.00, 60.00 degrees
Sites, in units of the cell vectors:
Hf: 0.000 0.000 0.000
Tl: 0.250 0.250 0.250
Tl: 0.750 0.750 0.750
Cl: 0.500 0.500 0.500

=====

Record 13
Compound: SrAcY2
Source: Alexandria
Functional: PBE
Structure: relaxed

Results
crystal system	tetragonal
formation energy from the elements	0.14	eV per atom
total magnetic moment	0.0001	μB/atom
distance to the lowest polymorph of the same formula	9.3	meV/atom

Cell lengths 3.851, 3.851, 10.682 Å; angles 90.00, 90.00, 90.00 degrees
Sites, in units of the cell vectors:
Sr: 0.000 0.000 0.000
Ac: 0.000 0.000 0.500
Y: 0.500 0.500 0.268
Y: 0.500 0.500 0.732

=====

Record 14
Compound: PrTm2Pb3
Source: Alexandria
Functional: PBE
Structure: relaxed

Results
crystal system	monoclinic
formation energy from the elements	-0.46	eV per atom
total magnetic moment	0.0000	μB/atom
distance to the lowest polymorph of the same formula	0.0	meV/atom

Cell lengths 9.104, 9.104, 6.415 Å; angles 100.03, 100.03, 41.57 degrees
Sites, in units of the cell vectors:
Pr: 0.125 0.875 0.750
Pr: 0.875 0.125 0.250
Tm: 0.211 0.457 0.924
Tm: 0.457 0.211 0.424
Tm: 0.543 0.789 0.576
Tm: 0.789 0.543 0.076
Pb: 0.048 0.295 0.588
Pb: 0.295 0.048 0.088
Pb: 0.377 0.623 0.250
Pb: 0.623 0.377 0.750
Pb: 0.705 0.952 0.912
Pb: 0.952 0.705 0.412

=====

Record 15
Compound: Ac2GaCoN
Source: Alexandria
Functional: PBE
Structure: relaxed

Results
crystal system	monoclinic
E	-5.927	eV/atom
total magnetic moment	0.0000	μB/atom

Cell lengths 6.692, 4.101, 9.014 Å; angles 90.00, 110.31, 90.00 degrees
Sites, in units of the cell vectors:
Ac: 0.217 0.250 0.388
Ac: 0.221 0.250 0.965
Ac: 0.779 0.750 0.035
Ac: 0.783 0.750 0.612
Ga: 0.327 0.750 0.706
Ga: 0.673 0.250 0.294
Co: 0.477 0.750 0.251
Co: 0.523 0.250 0.749
N: 0.183 0.750 0.174
N: 0.817 0.250 0.826

=====

Record 16
Compound: Rb7Au2IO2
Source: Alexandria
Functional: PBE
Structure: relaxed

Results
crystal system	orthorhombic
E	-2.849	eV/atom
total magnetic moment	0.0148	μB/atom

Cell lengths 13.978, 13.978, 13.978 Å; angles 159.35, 37.74, 148.76 degrees
Sites, in units of the cell vectors:
Rb: 0.000 0.000 0.000
Rb: 0.065 0.858 0.206
Rb: 0.184 0.568 0.617
Rb: 0.475 0.564 0.911
Rb: 0.652 0.858 0.794
Rb: 0.654 0.564 0.089
Rb: 0.951 0.568 0.383
Au: 0.147 0.350 0.797
Au: 0.552 0.350 0.203
I: 0.376 0.876 0.500
O: 0.004 0.901 0.103
O: 0.798 0.901 0.897

=====

Record 17
Compound: KTiCdCl6
Source: Alexandria
Functional: PBE
Structure: relaxed

Results
crystal system	trigonal
E	-3.844	eV/atom
total magnetic moment	0.1111	μB/atom

Cell lengths 6.733, 6.733, 13.560 Å; angles 90.00, 90.00, 120.00 degrees
Sites, in units of the cell vectors:
K: 0.000 0.000 0.000
K: 0.000 0.000 0.500
Ti: 0.333 0.667 0.250
Ti: 0.667 0.333 0.750
Cd: 0.333 0.667 0.750
Cd: 0.667 0.333 0.250
Cl: 0.026 0.387 0.145
Cl: 0.026 0.639 0.355
Cl: 0.361 0.387 0.355
Cl: 0.361 0.974 0.145
Cl: 0.387 0.026 0.645
Cl: 0.387 0.361 0.855
Cl: 0.613 0.639 0.145
Cl: 0.613 0.974 0.355
Cl: 0.639 0.026 0.855
Cl: 0.639 0.613 0.645
Cl: 0.974 0.361 0.645
Cl: 0.974 0.613 0.855

=====

Record 18
Compound: GaTcAu3
Source: Alexandria
Functional: PBE
Structure: relaxed

Results
crystal system	cubic
formation energy from the elements	0.92	eV per atom
total magnetic moment	0.8069	μB/atom
distance to the lowest polymorph of the same formula	0.0	meV/atom

Cell lengths 4.810, 4.810, 4.810 Å; angles 90.00, 90.00, 90.00 degrees
Sites, in units of the cell vectors:
Ga: 0.000 0.000 0.000
Tc: 0.500 0.500 0.500
Au: 0.000 0.000 0.500
Au: 0.000 0.500 0.000
Au: 0.500 0.000 0.000

=====

Record 19
Compound: Cd2CoH6Pt
Source: Alexandria
Functional: PBE
Structure: relaxed

Results
crystal system	triclinic
E	-3.433	eV/atom
total magnetic moment	0.0000	μB/atom

Cell lengths 4.460, 4.950, 4.977 Å; angles 93.90, 90.09, 113.07 degrees
Sites, in units of the cell vectors:
Cd: 0.234 0.437 0.187
Cd: 0.766 0.563 0.813
Co: 0.000 0.000 0.500
H: 0.190 0.339 0.565
H: 0.216 0.931 0.255
H: 0.259 0.963 0.715
H: 0.741 0.037 0.285
H: 0.784 0.069 0.745
H: 0.810 0.661 0.435
Pt: 0.500 0.000 0.000

=====

Record 20
Compound: MgSi2Os
Source: Alexandria
Functional: PBE
Structure: relaxed

Results
crystal system	monoclinic
E	-6.054	eV/atom
total magnetic moment	0.0000	μB/atom

Cell lengths 4.327, 4.327, 5.059 Å; angles 98.52, 98.52, 40.94 degrees
Sites, in units of the cell vectors:
Mg: 0.000 0.000 0.000
Si: 0.235 0.235 0.698
Si: 0.765 0.765 0.302
Os: 0.500 0.500 0.500